Compound: Rb2Cr3F9
Source: Alexandria
Functional: PBE with a Hubbard U
Structure: relaxed

Unit cell a=9.8002 b=12.7491 c=8.4399 alpha=90.00 beta=112.73 gamma=90.00
Last column: nearest neighbours and their distance in Å.
Space group C2/c (No. 15)
One atom of each set of equivalent atoms:
Rb: 0.2268 0.0096 0.2692  7 F 2.78-3.11
Cr: 0.0829 0.2375 0.4984  4 F 2.01-2.07
Cr: 0.2500 0.2500 0.0000  6 F 1.95-1.97
F: 0.0000 0.1849 0.2500  2 Cr 2.05
F: 0.0951 0.3340 0.0346  2 Cr 1.97-2.06
F: 0.1179 0.1302 0.9611  1 Cr 1.95
F: 0.1650 0.2835 0.7534  2 Cr 1.97-2.07
F: 0.2455 0.3600 0.4562  1 Cr 2.01

The total energy comes out at -5.663 eV/atom.